NiHgNO2 | GGA+U | optimized geometry

a b c (Å): 4.256 4.256 4.032
angles (deg): 90.00 90.00 90.00
Each line ends with the local moment (μB).
Fractional positions:
N 0.000 0.000 0.500  -0.02
Hg 0.000 0.000 0.000  -0.01
O 0.000 0.500 0.000  0.15
Ni 0.500 0.500 0.500  1.27
O 0.500 0.000 0.000  0.15

Magnetic moment (μB per atom): 0.318
Electronic total energy (eV per atom): -2.635